DFT (PBE) results for a relaxed structure of GdTmPuMg.

POSCAR file:
```
GdTmPuMg
1.0
5.428 0.000 0.000
2.714 4.701 0.000
2.714 1.567 4.432
Pu Gd Tm Mg
1 1 1 1
direct
0.500 0.500 0.500 Pu
0.250 0.250 0.250 Gd
0.750 0.750 0.750 Tm
0.000 0.000 0.000 Mg
```

Calculated values
DOS at the Fermi energy = 13.8 states/eV/f.u.
formation enthalpy at 0 K = 0.1464 eV/atom
electronic total energy = -8.473 eV/atom